DFT (PBE) results for a relaxed AlV crystal.

Structure (CIF):
```
data_AlV
_chemical_formula_sum 'Al4 V4'
_symmetry_space_group_name_H-M 'P 42/m n m'
_symmetry_Int_Tables_number 136
_symmetry_space_group_name_Hall '-P 4n 2n'
_cell_length_a 5.0216
_cell_length_b 5.0216
_cell_length_c 5.0255
_cell_angle_alpha 90.00
_cell_angle_beta 90.00
_cell_angle_gamma 90.00
loop_
_atom_site_label
_atom_site_fract_x
_atom_site_fract_y
_atom_site_fract_z
Al1 0.1824 0.1824 0.0000
V1 0.1804 0.1804 0.5000
```

Values from the calculation:
Crystal system = tetragonal
Volume = 31.68 Å³/f.u.
Energy of formation = 379 meV per atom